10
Lattice="5.703 -1.853 0.000 5.703 1.853 0.000 -5.429 0.000 10.421" Properties=species:S:1:pos:R:3 comment="Sm2Ga2Co PBE-GGA optimized geometry" delta_e_f_ev_per_atom=-0.475 m_tot_mub_per_atom=0.000 spacegroup="C2/m, No. 12" relative_energy_ev_per_atom=0.0158 mass_density_g_cm3=7.527 pbc="T T T"
Sm -1.008 0.000 3.984
Sm -1.462 0.000 8.942
Sm 7.438 0.000 1.479
Sm 6.984 0.000 6.437
Ga -4.599 0.000 9.462
Ga 2.185 0.000 4.019
Ga 3.792 0.000 6.402
Ga 10.575 0.000 0.958
Co 3.807 0.000 2.079
Co 2.169 0.000 8.342

16
Lattice="11.623 0.000 0.000 0.000 3.591 6.230 0.000 -3.591 6.230" Properties=species:S:1:pos:R:3 comment="TbPrTh14 PBE-GGA optimized geometry" delta_e_f_ev_per_atom=0.040 m_tot_mub_per_atom=0.000 spacegroup="Amm2, No. 38" mass_density_g_cm3=11.329 pbc="T T T"
Tb 0.000 0.000 0.000
Pr 0.000 0.000 6.238
Th 0.000 -1.788 9.313
Th 0.000 1.788 9.313
Th 2.913 0.000 2.066
Th 2.926 -1.801 5.176
Th 2.926 1.801 5.176
Th 2.932 0.000 8.304
Th 5.811 0.000 4.141
Th 5.811 -1.798 7.256
Th 5.811 0.000 10.374
Th 5.811 1.798 7.256
Th 8.697 -1.801 5.176
Th 8.697 1.801 5.176
Th 8.691 0.000 8.304
Th 8.710 0.000 2.066

8
Lattice="2.754 1.590 9.127 -2.754 1.590 9.127 0.000 -3.180 9.127" Properties=species:S:1:pos:R:3 comment="CaLaPm2Tl4 PBE-GGA optimized geometry" delta_e_f_ev_per_atom=-0.400 m_tot_mub_per_atom=0.000 spacegroup="R-3m, No. 166" mass_density_g_cm3=8.906 pbc="T T T"
Ca 0.000 0.000 0.000
La 0.000 0.000 13.691
Pm 0.000 0.000 6.959
Pm 0.000 0.000 20.422
Tl 0.000 0.000 3.425
Tl 0.000 0.000 10.269
Tl 0.000 0.000 17.112
Tl 0.000 0.000 23.956

4
Lattice="3.194 0.000 0.000 0.000 4.330 0.000 -0.019 0.000 6.449" Properties=species:S:1:pos:R:3 comment="MgZr2Cd PBE-GGA optimized geometry" delta_e_f_ev_per_atom=-0.018 m_tot_mub_per_atom=0.000 spacegroup="Pm, No. 6" mass_density_g_cm3=5.942 pbc="T T T"
Mg 0.000 0.000 0.000
Zr -0.002 0.000 3.207
Zr 1.592 2.165 1.667
Cd 1.590 2.165 4.889

18
Lattice="10.871 0.000 0.000 -5.436 9.415 0.000 0.000 0.000 5.102" Properties=species:S:1:pos:R:3 comment="Sr5Tc4 PBE-GGA optimized geometry" delta_e_f_ev_per_atom=1.045 m_tot_mub_per_atom=0.183 spacegroup="P6_3/mcm, No. 193" relative_energy_ev_per_atom=0.2445 mass_density_g_cm3=5.279 pbc="T T T"
Sr -1.437 2.489 1.276
Sr -3.999 6.926 3.827
Sr 2.874 0.000 1.276
Sr 1.437 2.489 3.827
Sr 0.000 6.277 0.000
Sr 0.000 6.277 2.551
Sr 5.436 3.138 0.000
Sr 5.436 3.138 2.551
Sr 7.997 0.000 3.827
Sr 3.999 6.926 1.276
Tc 0.000 0.000 0.000
Tc 0.000 0.000 2.551
Tc -2.563 4.439 3.827
Tc -2.873 4.976 1.276
Tc 5.126 0.000 3.827
Tc 2.563 4.439 1.276
Tc 5.745 0.000 1.276
Tc 2.873 4.976 3.827

6
Lattice="0.000 3.747 3.747 3.747 0.000 3.747 3.747 3.747 0.000" Properties=species:S:1:pos:R:3 comment="GdPuSi4 PBE-GGA optimized geometry" m_tot_mub_per_atom=0.111 spacegroup="F-43m, No. 216" mass_density_g_cm3=8.108 e_form_raw_mev_per_atom=-370 pbc="T T T"
Gd 0.000 0.000 0.000
Pu 1.873 1.873 1.873
Si 4.682 2.811 2.811
Si 2.811 4.682 2.811
Si 2.811 2.811 4.682
Si 4.682 4.682 4.682

16
Lattice="3.989 -4.890 0.000 3.989 4.890 0.000 -3.988 0.000 7.341" Properties=species:S:1:pos:R:3 comment="LaPmSbO5 PBE-GGA optimized geometry" m_tot_mub_per_atom=0.107 spacegroup="C2/c, No. 15" mass_density_g_cm3=5.631 e_form_raw_mev_per_atom=-2496 pbc="T T T"
La 0.999 4.248 5.506
La 2.992 -4.248 1.835
Pm 1.995 2.445 0.000
Pm 0.001 -2.445 3.671
Sb 0.999 0.632 5.506
Sb 2.992 -0.632 1.835
O 2.992 3.357 1.835
O 1.456 0.156 0.664
O -0.537 -0.156 4.335
O 0.195 2.008 6.633
O 1.803 2.008 4.379
O 2.188 -2.008 2.962
O 3.797 -2.008 0.709
O 4.529 0.156 3.006
O 2.535 -0.156 6.677
O 0.999 -3.357 5.506

10
Lattice="7.252 0.000 0.000 0.000 7.252 0.000 0.000 0.000 2.724" Properties=species:S:1:pos:R:3 comment="V2TcRh2 PBE-GGA optimized geometry" delta_e_f_ev_per_atom=-0.101 m_tot_mub_per_atom=0.000 spacegroup="P4/mbm, No. 127" relative_energy_ev_per_atom=0.0000 mass_density_g_cm3=9.405 pbc="T T T"
V 1.210 2.416 0.000
V 2.416 6.042 0.000
V 4.836 1.210 0.000
V 6.042 4.836 0.000
Tc 0.000 0.000 1.362
Tc 3.626 3.626 1.362
Rh 0.955 4.581 1.362
Rh 2.671 0.955 1.362
Rh 4.581 6.297 1.362
Rh 6.297 2.671 1.362

4
Lattice="1.679 0.969 9.733 -1.679 0.969 9.733 0.000 -1.938 9.733" Properties=species:S:1:pos:R:3 comment="Sc2AgCl PBE-GGA optimized geometry" m_tot_mub_per_atom=0.318 spacegroup="R3m, No. 160" relative_energy_ev_per_atom=0.0476 mass_density_g_cm3=4.077 e_form_raw_mev_per_atom=-618 pbc="T T T"
Sc 0.000 0.000 0.000
Sc 0.000 0.000 7.174
Ag 0.000 0.000 21.632
Cl 0.000 0.000 15.187

4
Lattice="1.418 -2.355 0.000 1.418 2.355 0.000 0.000 0.000 9.357" Properties=species:S:1:pos:R:3 comment="LiMgIr2 PBE-GGA optimized geometry" delta_e_f_ev_per_atom=0.125 m_tot_mub_per_atom=0.000 spacegroup="Cmm2, No. 35" mass_density_g_cm3=11.048 pbc="T T T"
Li 0.000 0.000 0.000
Mg 1.418 0.000 6.697
Ir 0.000 0.000 4.452
Ir 1.418 0.000 2.141

20
Lattice="0.000 5.122 5.122 5.122 0.000 5.122 5.122 5.122 0.000" Properties=species:S:1:pos:R:3 comment="LaCuO3 PBE-GGA optimized geometry" m_tot_mub_per_atom=0.000 spacegroup="Fd-3m, No. 227" mass_density_g_cm3=6.192 e_form_raw_mev_per_atom=-1447 pbc="T T T"
La 0.000 0.000 0.000
La 2.561 2.561 0.000
La 2.561 0.000 2.561
La 0.000 2.561 2.561
Cu 5.122 2.561 2.561
Cu 2.561 5.122 2.561
Cu 2.561 2.561 5.122
Cu 5.122 5.122 5.122
O 3.841 3.841 1.670
O 3.841 1.670 3.841
O 6.013 3.841 3.841
O 6.402 6.402 4.231
O 6.402 4.231 6.402
O 8.573 6.402 6.402
O 1.670 3.841 3.841
O 3.841 6.013 3.841
O 3.841 3.841 6.013
O 4.231 6.402 6.402
O 6.402 8.573 6.402
O 6.402 6.402 8.573

12
Lattice="-4.385 4.385 5.681 4.385 -4.385 5.681 4.385 4.385 -5.681" Properties=species:S:1:pos:R:3 comment="TbPr3Dy8 PBE-GGA optimized geometry" delta_e_f_ev_per_atom=0.612 m_tot_mub_per_atom=0.000 spacegroup="I-42m, No. 121" mass_density_g_cm3=7.152 pbc="T T T"
Tb 0.000 0.000 0.000
Pr 4.385 0.000 2.840
Pr 0.000 0.000 5.681
Pr 0.000 4.385 2.840
Dy 3.286 3.286 -2.887
Dy 2.150 2.150 -0.107
Dy 2.235 -2.235 5.788
Dy 1.099 1.099 2.793
Dy 1.099 -1.099 8.568
Dy 2.235 2.235 5.574
Dy -2.235 2.235 5.788
Dy -1.099 1.099 8.568